Record 1
This record from Alexandria describes crystalline PmZn8Ag2 at its relaxed geometry. The functional is PBE-GGA.

Structure (extended XYZ):
```
11
Lattice="5.128 0.000 0.000 0.000 5.128 0.000 0.000 0.000 9.249" Properties=species:S:1:pos:R:3 pbc="T T T"
Pm 0.000 0.000 0.000
Zn 1.293 1.293 2.503
Zn 1.293 1.293 6.746
Zn 1.293 3.835 2.503
Zn 1.293 3.835 6.746
Zn 3.835 1.293 2.503
Zn 3.835 1.293 6.746
Zn 3.835 3.835 2.503
Zn 3.835 3.835 6.746
Ag 0.000 2.564 4.624
Ag 2.564 0.000 4.624
```

Calculated values
E_form ... 0.190 eV/atom



Record 2
This record from Alexandria describes crystalline ScPaMn at its relaxed geometry. The functional is PBE-GGA.

Structure (extended XYZ):
```
3
Lattice="-1.649 1.649 5.307 1.649 -1.649 5.307 1.649 1.649 -5.307" Properties=species:S:1:pos:R:3 pbc="T T T"
Sc 0.000 0.000 0.000
Pa 0.000 0.000 7.470
Mn 0.000 0.000 3.374
```

Calculated values
Energy above the lowest structure with this stoichiometry ... 15.0 meV/atom
E_form ... 0.015 eV/atom



Record 3
This record from Alexandria describes crystalline SrTcN3 at its relaxed geometry. The functional is PBE-GGA.

Structure (extended XYZ):
```
10
Lattice="5.458 -2.061 0.000 5.458 2.061 0.000 -2.356 0.000 7.095" Properties=species:S:1:pos:R:3 pbc="T T T"
Sr 0.000 0.000 0.000
Sr 0.795 0.000 3.819
Tc 4.134 0.000 2.451
Tc 7.880 0.000 1.384
N 3.084 0.000 5.311
N 3.471 0.000 4.168
N 5.989 0.000 1.761
N 5.637 0.000 6.628
N 6.144 0.000 5.522
N 9.511 0.000 2.312
```

Calculated values
Formation energy from raw total energies ... -0.3483 eV per atom



Record 4
This record from Alexandria describes crystalline Ga2Ni2Hg at its relaxed geometry. The functional is PBE-GGA.

Structure (extended XYZ):
```
5
Lattice="-1.890 1.890 5.688 1.890 -1.890 5.688 1.890 1.890 -5.688" Properties=species:S:1:pos:R:3 pbc="T T T"
Ga 0.000 0.000 1.333
Ga 0.000 0.000 10.043
Ni 1.890 0.000 2.844
Ni 0.000 1.890 2.844
Hg 0.000 0.000 5.688
```

Calculated values
Energy above the lowest structure with this stoichiometry ... 180.9 meV/atom
E_form ... 0.021 eV/atom